SrDy2Fe2O7, optimized geometry, DFT PBE with a Hubbard U; DFT total energy = -85.92 eV/cell
1.0
-1.9321 1.9321 10.1793
1.9321 -1.9321 10.1793
1.9321 1.9321 -10.1793
Fe O Dy Sr
2 7 2 1
direct
0.1037 0.1037 0.0000 Fe
0.9024 0.9024 0.0000 Fe
0.0891 0.5891 0.5000 O
0.3930 0.8930 0.5000 O
0.2044 0.2044 0.0000 O
0.8930 0.3930 0.5000 O
0.9991 0.9991 0.0000 O
0.7998 0.7998 0.0000 O
0.5891 0.0891 0.5000 O
0.3221 0.3221 0.0000 Dy
0.5154 0.5154 0.0000 Dy
0.6887 0.6887 0.0000 Sr